1.
Compound: Sc3ZnHg2
Source: the Alexandria database
Functional: PBE
Structure: relaxed

```
data_Sc3ZnHg2
_cell_length_a 4.902
_cell_length_b 4.902
_cell_length_c 12.060
_cell_angle_alpha 90.00
_cell_angle_beta 90.00
_cell_angle_gamma 120.00
_space_group_name_H-M_alt 'P 1'
_space_group_IT_number 1
_space_group_name_Hall 'P 1'
loop_
_atom_site_label
_atom_site_type_symbol
_atom_site_fract_x
_atom_site_fract_y
_atom_site_fract_z
_atom_site_occupancy
Sc1 Sc 0.000 0.000 0.245 1
Sc2 Sc 0.000 0.000 0.755 1
Sc3 Sc 0.333 0.667 0.413 1
Sc4 Sc 0.333 0.667 0.919 1
Sc5 Sc 0.667 0.333 0.081 1
Sc6 Sc 0.667 0.333 0.587 1
Zn1 Zn 0.333 0.667 0.166 1
Zn2 Zn 0.667 0.333 0.834 1
Hg1 Hg 0.000 0.000 0.000 1
Hg2 Hg 0.000 0.000 0.500 1
Hg3 Hg 0.333 0.667 0.675 1
Hg4 Hg 0.667 0.333 0.325 1
```

Symmetry: P-3m1 (164)
Formation energy (eV per atom): -0.400
Relative energy among the computed polymorphs (meV/atom): 10.6

***

2.
Compound: Sc3ZnHg
Source: the Alexandria database
Functional: PBE
Structure: relaxed

```
data_Sc3ZnHg
_cell_length_a 5.034
_cell_length_b 5.034
_cell_length_c 5.034
_cell_angle_alpha 90.00
_cell_angle_beta 90.00
_cell_angle_gamma 90.00
_space_group_name_H-M_alt 'P 1'
_space_group_IT_number 1
_space_group_name_Hall 'P 1'
loop_
_atom_site_label
_atom_site_type_symbol
_atom_site_fract_x
_atom_site_fract_y
_atom_site_fract_z
_atom_site_occupancy
Sc1 Sc 0.000 0.000 0.500 1
Sc2 Sc 0.000 0.500 0.000 1
Sc3 Sc 0.500 0.000 0.000 1
Zn1 Zn 0.000 0.000 0.000 1
Hg1 Hg 0.500 0.500 0.500 1
```

Symmetry: Pm-3m (221)
Formation energy (eV per atom): 0.190
Relative energy among the computed polymorphs (meV/atom): 482.9

***

3.
Compound: Sc2Zn3Hg3
Source: the Alexandria database
Functional: PBE
Structure: relaxed

```
data_Sc2Zn3Hg3
_cell_length_a 4.746
_cell_length_b 4.751
_cell_length_c 8.287
_cell_angle_alpha 73.39
_cell_angle_beta 73.37
_cell_angle_gamma 60.05
_space_group_name_H-M_alt 'P 1'
_space_group_IT_number 1
_space_group_name_Hall 'P 1'
loop_
_atom_site_label
_atom_site_type_symbol
_atom_site_fract_x
_atom_site_fract_y
_atom_site_fract_z
_atom_site_occupancy
Sc1 Sc 0.000 0.000 0.000 1
Sc2 Sc 0.499 0.492 0.511 1
Zn1 Zn 0.255 0.252 0.239 1
Zn2 Zn 0.374 0.372 0.879 1
Zn3 Zn 0.747 0.743 0.765 1
Hg1 Hg 0.125 0.117 0.634 1
Hg2 Hg 0.624 0.623 0.128 1
Hg3 Hg 0.876 0.870 0.379 1
```

Symmetry: P1 (1)
Formation energy (eV per atom): -0.234